Computed, not measured: a geometry-optimized BaNa14Sr structure at the GGA-PBE level of DFT.

Computed properties:
VASP energy, eV/atom: -1.35
V, Å³/f.u.: 648.6
Fermi-level density of states, states/eV/cell: 11.36
Total magnetization, Bohr magnetons per cell: 0.00
Symmetry: Cmmm, No. 65

a = 7.882 Å, b = 7.882 Å, c = 10.441 Å
α = 90.00°, β = 90.00°, γ = 90.11°
Sites, in units of the cell vectors:
1 Ba 0.875 0.875 0.500
2 Na 0.875 0.875 0.000
3 Na 0.375 0.375 0.000
4 Na 0.875 0.375 0.500
5 Na 0.875 0.375 0.000
6 Na 0.375 0.875 0.500
7 Na 0.375 0.875 0.000
8 Na 0.621 0.129 0.227
9 Na 0.621 0.129 0.773
10 Na 0.129 0.621 0.227
11 Na 0.129 0.621 0.773
12 Na 0.621 0.621 0.227
13 Na 0.621 0.621 0.773
14 Na 0.129 0.129 0.227
15 Na 0.129 0.129 0.773
16 Sr 0.375 0.375 0.500